An optimized crystal structure of Li2CaIn2, computed with PBEsol.

Lattice parameters (Å, degrees): 4.0831 4.0831 7.6112 105.56 105.56 90.00
With the nearest neighbours (Å) after each atom.
Positions (direct):
In 0.3931 0.3931 0.7863  4 Li 2.87, 1 In 3.01
Li 0.2500 0.7500 0.5000  4 In 2.87, 4 Li 2.89
Li 0.7500 0.2500 0.5000  4 In 2.87, 4 Li 2.89
In 0.6069 0.6069 0.2137  4 Li 2.87, 1 In 3.01
Ca 0.0000 0.0000 0.0000  8 In 3.26

Its symmetry is I4/mmm. The formation energy from the elements is -0.297 eV/atom. Its calculated volume is 23.481 A^3/atom.


An optimized crystal structure of LiCa2In, computed with PBEsol.

Lattice parameters (Å, degrees): 5.2667 5.2667 5.2667 60.00 60.00 60.00
With the nearest neighbours (Å) after each atom.
Positions (direct):
Ca 0.7500 0.7500 0.7500  4 Ca 3.23, 4 In 3.23
Li 0.2500 0.2500 0.2500  4 In 3.23, 4 Ca 3.23
Ca 0.0000 0.0000 0.0000  4 Ca 3.23, 4 Li 3.23
In 0.5000 0.5000 0.5000  4 Li 3.23, 4 Ca 3.23

Its symmetry is F-43m. The formation energy from the elements is -0.253 eV/atom. Its calculated volume is 25.825 A^3/atom.


An optimized crystal structure of LiCaIn, computed with PBEsol.

Lattice parameters (Å, degrees): 3.7681 3.7681 5.8961 108.64 108.64 90.00
With the nearest neighbours (Å) after each atom.
Positions (direct):
Li 0.6910 0.6910 0.3821  4 In 2.96, 1 Ca 3.21
Ca 0.9963 0.9963 0.9926  5 Li 3.21-3.36, 5 In 3.29-3.33
In 0.3126 0.3126 0.6253  4 Li 2.96, 4 Ca 3.29

Its symmetry is I4mm. The formation energy from the elements is -0.311 eV/atom. Its calculated volume is 24.894 A^3/atom.


An optimized crystal structure of Li3CaIn, computed with PBEsol.

Lattice parameters (Å, degrees): 5.0673 5.0673 5.0673 90.00 90.00 90.00
With the nearest neighbours (Å) after each atom.
Positions (direct):
Li 0.0000 0.5000 0.0000  2 In 2.53
Li 0.5000 0.0000 0.0000  2 In 2.53
Li 0.0000 0.0000 0.5000  2 In 2.53
Ca 0.5000 0.5000 0.5000  12 Li 3.58
In 0.0000 0.0000 0.0000  6 Li 2.53

Its symmetry is Pm-3m. The formation energy from the elements is -0.007 eV/atom. Its calculated volume is 26.023 A^3/atom.


Among the records above, which one has the lowest formation energy from the elements? LiCaIn


Look up the formation energy from the elements of the fourth one. -0.007 eV/atom